Compound: MnIn2Cl
Source: the Alexandria database
Functional: PBE
Structure: relaxed

Values from the calculation:
Total magnetic moment (μB/atom): 1.03
Excess energy over the best structure of this formula in the dataset (eV/atom): 0.306
DOS(E_F) (states/eV/atom): 0.351
E_form (uncorrected) (eV/atom): 0.171

```
MnIn2Cl
1.0
-6.192 -3.498 -3.845
4.903 -1.941 -6.129
0.017 -5.410 -3.605
In Cl Mn
4 2 2
Direct
0.653 0.125 0.250
0.097 0.625 0.250
0.375 0.347 0.750
0.875 0.903 0.750
0.250 0.750 0.500
0.500 0.500 0.000
0.750 0.250 0.500
0.000 0.000 0.000
```